# 1
VASP calculation (PBE) on a geometry-optimized HgBF2 structure.

Values from the calculation:
E_form (uncorrected)   -0.939 eV/atom
Mass density   6.00 Mg/m³
E above lowest polymorph   0.00 kJ per mole of atoms

Cell: 2.9434 2.9434 27.6206 Å, 90.00 90.00 120.00°
With the nearest neighbours (Å) after each atom.
Space group R-3m (No. 166, hexagonal axes)
One atom of each set of equivalent atoms:
Hg (0.0000, 0.0000, 0.0000) (multiplicity 3)  6 Hg 2.94
B (0.0000, 0.0000, 0.5000) (multiplicity 3)  2 F 1.34
F (0.0000, 0.0000, 0.4514) (multiplicity 6)  1 B 1.34

# 2
VASP calculation (PBE) on a geometry-optimized TaTi5Fe6 structure.

Values from the calculation:
Mass density   7.96 Mg/m³
Calculated formation energy   -365.7 meV per atom

Cell: 4.2038 5.9486 6.6359 Å, 90.00 108.38 90.00°
With the nearest neighbours (Å) after each atom.
Space group P2/m (No. 10)
One atom of each set of equivalent atoms:
Ta (0.0000, 0.0000, 0.0000) (multiplicity 1)  8 Fe 2.58
Ti (0.0000, 0.5000, 0.0000) (multiplicity 1)  8 Fe 2.57-2.58
Ti (0.3315, 0.0000, 0.6630) (multiplicity 2)  8 Fe 2.55-2.60
Ti (0.3330, 0.5000, 0.6660) (multiplicity 2)  8 Fe 2.56-2.57
Fe (0.1674, 0.2512, 0.3346) (multiplicity 4)  7 Ti 2.55-2.58, 1 Ta 2.58
Fe (0.5000, 0.2520, 0.0000) (multiplicity 2)  6 Ti 2.57-2.60, 2 Ta 2.58

# 3
VASP calculation (PBE) on a geometry-optimized NaTiSe2 structure.

Values from the calculation:
E_form (uncorrected)   -0.986 eV/atom
Mass density   3.23 Mg/m³

Cell: 6.4961 6.4961 11.1318 Å, 90.00 90.00 90.00°
With the nearest neighbours (Å) after each atom.
Space group I-42d (No. 122)
One atom of each set of equivalent atoms:
Na (0.0000, 0.0000, 0.0000) (multiplicity 4)  4 Se 2.93
Ti (0.0000, 0.0000, 0.5000) (multiplicity 4)  4 Se 2.47
Se (0.1917, 0.2500, 0.6250) (multiplicity 8)  2 Ti 2.47

# 4
VASP calculation (PBE) on a geometry-optimized Na2ZnSbH structure.

Values from the calculation:
Mass density   3.48 Mg/m³
E above lowest polymorph   0.00 kJ per mole of atoms

Cell: 6.4359 4.4393 8.3181 Å, 90.00 109.72 90.00°
With the nearest neighbours (Å) after each atom.
Space group P2_1/m (No. 11)
One atom of each set of equivalent atoms:
Na (0.1659, 0.2500, 0.3950) (multiplicity 2)  2 H 2.84, 2 Zn 3.14, 1 Sb 3.17
Na (0.2386, 0.2500, 0.9447) (multiplicity 2)  1 H 2.29
Zn (0.4117, 0.7500, 0.2602) (multiplicity 2)  1 H 1.66
Sb (0.3540, 0.7500, 0.6974) (multiplicity 2)  2 Zn 2.64
H (0.1389, 0.7500, 0.1757) (multiplicity 2)  1 Zn 1.66

# 5
VASP calculation (PBE) on a geometry-optimized Ti4InO structure.

Values from the calculation:
E_form (uncorrected)   -0.941 eV/atom
Mass density   5.80 Mg/m³
E above lowest polymorph   0.00 kJ per mole of atoms

Cell: 4.4552 14.1998 5.8350 Å, 90.00 90.00 90.00°
With the nearest neighbours (Å) after each atom.
Space group Cmcm (No. 63)
One atom of each set of equivalent atoms:
Ti (0.0000, 0.0000, 0.0000) (multiplicity 4)  2 O 2.06
Ti (0.0000, 0.2033, 0.0034) (multiplicity 8)  1 O 2.03
Ti (0.0000, 0.3939, 0.7500) (multiplicity 4)  2 O 2.23
In (0.0000, 0.3935, 0.2500) (multiplicity 4)  13 Ti 2.92-3.06
O (0.0000, 0.1020, 0.2500) (multiplicity 4)  6 Ti 2.03-2.23

# 6
VASP calculation (PBE) on a geometry-optimized BaTaHg2Bi structure.

Values from the calculation:
Mass density   9.34 Mg/m³
Calculated formation energy   -16.8 meV per atom

Cell: 5.4972 5.4972 5.4643 Å, 90.00 90.00 90.00°
With the nearest neighbours (Å) after each atom.
Space group P4/mmm (No. 123)
One atom of each set of equivalent atoms:
Ba (0.0000, 0.0000, 0.0000) (multiplicity 1)  8 Hg 3.88, 4 Bi 3.89
Ta (0.5000, 0.5000, 0.5000) (multiplicity 1)  2 Bi 2.73, 4 Hg 2.75
Hg (0.0000, 0.5000, 0.5000) (multiplicity 2)  2 Ta 2.75
Bi (0.5000, 0.5000, 0.0000) (multiplicity 1)  2 Ta 2.73